Record 1
Computed, not measured: a geometry-optimized LiZrAl2 structure at the GGA-PBE level of DFT.

Values from the calculation:
Energy   -4.762 eV/atom
DOS(E_F)   1.80 states/eV/cell
ΔE_f   -0.275 eV per atom

Unit cell a=5.2154 b=5.2154 c=2.8496 alpha=90.00 beta=90.00 gamma=109.02
Fractional positions:
Li 0.0000 0.0000 0.0000
Zr 0.5000 0.5000 0.0000
Al 0.0000 0.5000 0.5000
Al 0.5000 0.0000 0.5000



Record 2
Computed, not measured: a geometry-optimized ThPaC structure at the GGA-PBE level of DFT.

Values from the calculation:
Energy   -8.456 eV/atom
DOS(E_F)   3.83 states/eV/cell
ΔE_f   0.257 eV per atom
Relative energy among the computed polymorphs   1.15 eV per formula unit

Unit cell a=6.4444 b=6.4444 c=6.4444 alpha=151.40 beta=151.40 gamma=40.89
Fractional positions:
Th 0.0000 0.0000 0.0000
Pa 0.2469 0.2469 0.0000
C 0.6521 0.6521 0.0000



Record 3
Computed, not measured: a geometry-optimized Li2CaTa structure at the GGA-PBE level of DFT.

Values from the calculation:
Energy   -3.463 eV/atom
DOS(E_F)   6.26 states/eV/cell
ΔE_f   0.957 eV per atom
Relative energy among the computed polymorphs   2.03 eV per formula unit

Unit cell a=5.0349 b=5.0349 c=5.0349 alpha=60.00 beta=60.00 gamma=60.00
Fractional positions:
Li 0.0000 0.0000 0.0000
Li 0.2500 0.2500 0.2500
Ca 0.5000 0.5000 0.5000
Ta 0.7500 0.7500 0.7500



Record 4
Computed, not measured: a geometry-optimized Sm2InRh structure at the GGA-PBE level of DFT.

Values from the calculation:
Energy   -5.379 eV/atom
DOS(E_F)   2.15 states/eV/cell
ΔE_f   -0.497 eV per atom
Relative energy among the computed polymorphs   0.41 eV per formula unit

Unit cell a=8.6219 b=8.6219 c=8.6219 alpha=26.38 beta=26.38 gamma=26.38
Fractional positions:
Sm 0.2340 0.2340 0.2340
Sm 0.7660 0.7660 0.7660
In 0.0000 0.0000 0.0000
Rh 0.5000 0.5000 0.5000



Record 5
Computed, not measured: a geometry-optimized EuYLu2 structure at the GGA-PBE level of DFT.

Values from the calculation:
Energy   -6.363 eV/atom
DOS(E_F)   5.85 states/eV/cell
ΔE_f   0.082 eV per atom
Relative energy among the computed polymorphs   0.00 eV per formula unit

Unit cell a=3.5693 b=3.5693 c=10.1878 alpha=90.00 beta=90.00 gamma=90.00
Fractional positions:
Eu 0.0000 0.0000 0.0000
Y 0.0000 0.0000 0.5000
Lu 0.5000 0.5000 0.2642
Lu 0.5000 0.5000 0.7358



Record 6
Computed, not measured: a geometry-optimized Fe2Ni7As2Pt structure at the GGA-PBE level of DFT.

Values from the calculation:
Energy   -6.080 eV/atom
DOS(E_F)   12.44 states/eV/cell
ΔE_f   -0.019 eV per atom

Unit cell a=3.6318 b=3.6318 c=11.3406 alpha=90.00 beta=90.00 gamma=90.19
Fractional positions:
Fe 0.0000 0.0000 0.1782
Fe 0.0000 0.0000 0.8218
Ni 0.0000 0.0000 0.5000
Ni 0.0000 0.5000 0.3352
Ni 0.0000 0.5000 0.6648
Ni 0.2540 0.7460 0.0000
Ni 0.5000 0.0000 0.3352
Ni 0.5000 0.0000 0.6648
Ni 0.7460 0.2540 0.0000
As 0.5000 0.5000 0.1864
As 0.5000 0.5000 0.8136
Pt 0.5000 0.5000 0.5000



Record 7
Computed, not measured: a geometry-optimized KYIn3 structure at the GGA-PBE level of DFT.

Values from the calculation:
Energy   -2.376 eV/atom
DOS(E_F)   6.26 states/eV/cell
ΔE_f   0.779 eV per atom
Relative energy among the computed polymorphs   2.67 eV per formula unit

Unit cell a=5.6503 b=5.6503 c=5.6503 alpha=90.00 beta=90.00 gamma=90.00
Fractional positions:
K 0.0000 0.0000 0.0000
Y 0.5000 0.5000 0.5000
In 0.0000 0.0000 0.5000
In 0.0000 0.5000 0.0000
In 0.5000 0.0000 0.0000



Record 8
Computed, not measured: a geometry-optimized BaSr2RhI structure at the GGA-PBE level of DFT.

Values from the calculation:
Energy relative to the elements, uncorrected   -0.502 eV/atom
Energy   -3.340 eV/atom
DOS(E_F)   4.57 states/eV/cell

Unit cell a=5.8776 b=5.8776 c=6.1480 alpha=90.00 beta=90.00 gamma=90.00
Fractional positions:
Ba 0.0000 0.0000 0.0000
Sr 0.0000 0.5000 0.5000
Sr 0.5000 0.0000 0.5000
Rh 0.0000 0.0000 0.5000
I 0.5000 0.5000 0.0000



Record 9
Computed, not measured: a geometry-optimized Sm12Ga5Sn structure at the GGA-PBE level of DFT.

Values from the calculation:
Energy   -4.652 eV/atom
DOS(E_F)   13.23 states/eV/cell
ΔE_f   -0.443 eV per atom

Unit cell a=8.7955 b=8.7955 c=8.7955 alpha=112.35 beta=112.11 gamma=104.08
Fractional positions:
Sm 0.0349 0.2320 0.8029
Sm 0.1807 0.2753 0.4560
Sm 0.1807 0.7247 0.9054
Sm 0.3207 0.0247 0.7040
Sm 0.3207 0.6166 0.2960
Sm 0.4291 0.2320 0.1971
Sm 0.5709 0.7680 0.8029
Sm 0.6793 0.3834 0.7040
Sm 0.6793 0.9753 0.2960
Sm 0.8193 0.2753 0.0946
Sm 0.8193 0.7247 0.5440
Sm 0.9651 0.7680 0.1971
Ga 0.0000 0.0000 0.0000
Ga 0.1194 0.6194 0.5000
Ga 0.3578 0.0000 0.3578
Ga 0.6422 0.0000 0.6422
Ga 0.8806 0.3806 0.5000
Sn 0.5000 0.5000 0.0000



Record 10
Computed, not measured: a geometry-optimized LaPr4Sm3S8 structure at the GGA-PBE level of DFT.

Values from the calculation:
Energy relative to the elements, uncorrected   -2.037 eV/atom
Energy   -6.489 eV/atom
DOS(E_F)   8.61 states/eV/cell

Unit cell a=8.1601 b=8.1601 c=8.1601 alpha=59.91 beta=59.91 gamma=59.91
Fractional positions:
La 0.0000 0.0000 0.0000
Pr 0.0000 0.0000 0.5000
Pr 0.0000 0.5000 0.0000
Pr 0.5000 0.0000 0.0000
Pr 0.5000 0.5000 0.5000
Sm 0.0000 0.5000 0.5000
Sm 0.5000 0.0000 0.5000
Sm 0.5000 0.5000 0.0000
S 0.2503 0.2503 0.7433
S 0.2503 0.7433 0.2503
S 0.2531 0.2531 0.2531
S 0.2567 0.7497 0.7497
S 0.7433 0.2503 0.2503
S 0.7469 0.7469 0.7469
S 0.7497 0.2567 0.7497
S 0.7497 0.7497 0.2567



Record 11
Computed, not measured: a geometry-optimized Tl3CrH structure at the GGA-PBE level of DFT.

Values from the calculation:
Energy   -3.432 eV/atom
DOS(E_F)   2.61 states/eV/cell

Unit cell a=4.8232 b=4.8232 c=4.8232 alpha=90.00 beta=90.00 gamma=90.00
Fractional positions:
Tl 0.0000 0.0000 0.5000
Tl 0.0000 0.5000 0.0000
Tl 0.5000 0.0000 0.0000
Cr 0.5000 0.5000 0.5000
H 0.0000 0.0000 0.0000



Record 12
Computed, not measured: a geometry-optimized Dy2Al8Ag structure at the GGA-PBE level of DFT.

Values from the calculation:
Energy   -4.095 eV/atom
DOS(E_F)   3.74 states/eV/cell
ΔE_f   -0.277 eV per atom

Unit cell a=4.3453 b=4.3453 c=11.2555 alpha=90.00 beta=90.00 gamma=90.00
Fractional positions:
Dy 0.0000 0.0000 0.1844
Dy 0.0000 0.0000 0.8156
Al 0.0000 0.5000 0.0000
Al 0.0000 0.5000 0.3680
Al 0.0000 0.5000 0.6320
Al 0.5000 0.0000 0.0000
Al 0.5000 0.0000 0.3680
Al 0.5000 0.0000 0.6320
Al 0.5000 0.5000 0.1934
Al 0.5000 0.5000 0.8066
Ag 0.0000 0.0000 0.5000



Record 13
Computed, not measured: a geometry-optimized CsKSe2Br structure at the GGA-PBE level of DFT.

Values from the calculation:
Energy relative to the elements, uncorrected   -0.143 eV/atom
Energy   -2.262 eV/atom
DOS(E_F)   8.56 states/eV/cell
Relative energy among the computed polymorphs   1.10 eV per formula unit

Unit cell a=5.8790 b=5.8790 c=6.7773 alpha=90.00 beta=90.00 gamma=90.00
Fractional positions:
Cs 0.0000 0.0000 0.0000
K 0.5000 0.5000 0.5000
Se 0.0000 0.5000 0.0000
Se 0.5000 0.0000 0.0000
Br 0.0000 0.0000 0.5000



Record 14
Computed, not measured: a geometry-optimized TmCdTe3 structure at the GGA-PBE level of DFT.

Values from the calculation:
Energy relative to the elements, uncorrected   -0.718 eV/atom
Energy   -3.680 eV/atom
DOS(E_F)   3.80 states/eV/cell

Unit cell a=6.4756 b=4.4916 c=12.6278 alpha=90.00 beta=102.11 gamma=90.00
Fractional positions:
Tm 0.0056 0.2500 0.3391
Tm 0.9944 0.7500 0.6609
Cd 0.4878 0.2500 0.8803
Cd 0.5122 0.7500 0.1197
Te 0.2243 0.7500 0.8971
Te 0.2404 0.2500 0.5770
Te 0.2808 0.7500 0.2860
Te 0.7192 0.2500 0.7140
Te 0.7596 0.7500 0.4230
Te 0.7757 0.2500 0.1029



Record 15
Computed, not measured: a geometry-optimized RbCu2TcBr structure at the GGA-PBE level of DFT.

Values from the calculation:
Energy relative to the elements, uncorrected   1.833 eV/atom
Energy   -2.407 eV/atom
DOS(E_F)   4.18 states/eV/cell

Unit cell a=5.5056 b=5.5056 c=5.9245 alpha=90.00 beta=90.00 gamma=90.00
Fractional positions:
Rb 0.0000 0.0000 0.0000
Cu 0.0000 0.5000 0.0000
Cu 0.5000 0.0000 0.0000
Tc 0.5000 0.5000 0.5000
Br 0.0000 0.0000 0.5000



Volume for every record listed, in sequence, given in Å³/cell: 73 61 90 111 130 150 180 212 520 383 112 213 234 359 180.